# 1
{"formula": "SmHfB4", "functional": "PBE", "state": "relaxed", "cell": [[3.2139, 0.0000, 0.0000], [-1.6070, 2.7833, 0.0000], [0.0000, 0.0000, 7.5714]], "species": ["B", "B", "B", "B", "Hf", "Sm"], "fractional_positions": [[0.6667, 0.3333, 0.2249], [0.3333, 0.6667, 0.2249], [0.6667, 0.3333, 0.7751], [0.3333, 0.6667, 0.7751], [0.0000, 0.0000, 0.0000], [0.0000, 0.0000, 0.5000]], "e_tot_ev_per_atom": -7.630}



# 2
{"formula": "SmHfB", "functional": "PBE", "state": "relaxed", "cell": [[0.0000, 3.2276, 3.2276], [3.2276, 0.0000, 3.2276], [3.2276, 3.2276, 0.0000]], "species": ["B", "Hf", "Sm"], "fractional_positions": [[0.2500, 0.2500, 0.2500], [0.7500, 0.7500, 0.7500], [0.0000, 0.0000, 0.0000]], "de_polymorph_ev_per_atom": 1.490}



Respective M_tot values: 0.00 1.11 μB/cell.